Material: BeNiSnMo
Method: DFT, GGA-PBE
State: optimized geometry

Output
- E (eV per atom) = -5.73
- excess energy over the best structure of this formula in the dataset (kcal/mol of atoms) = 0.442

Unit cell a=6.083 b=6.083 c=6.083 alpha=90.00 beta=90.00 gamma=90.00
Space group F-43m (No. 216)
Symmetry-distinct sites (fractional):
Be1 0.000 0.000 0.000 x4
Ni1 0.000 0.000 0.500 x4
Sn1 0.250 0.250 0.250 x4
Mo1 0.250 0.250 0.750 x4